The following is a PBE calculation of a relaxed Zr2GaH crystal, from Alexandria.

Cell: 3.3210 5.7451 7.6881 Å, 113.05 104.21 85.44°
Last column: nearest neighbours and their distance in Å.
Positions (direct):
Zr 0.2861 0.0378 0.2352  2 H 2.08
Zr 0.3748 0.5218 0.2357  2 H 2.08
Zr 0.0303 0.4798 0.6346  2 H 2.06
Zr 0.6305 0.0797 0.8363  2 H 2.06
H 0.2190 0.1690 0.0139  4 Zr 2.06-2.08
H 0.4418 0.3905 0.4571  4 Zr 2.06-2.08
Ga 0.6930 0.6416 0.9603  8 Zr 2.79-3.00
Ga 0.9679 0.9179 0.5105  8 Zr 2.79-3.00

## Properties
distance to the lowest polymorph of the same formula = 0.000 eV per atom
energy = -6.336 eV per atom


The following is a PBE calculation of a relaxed Mg3AlAu2 crystal, from Alexandria.

Cell: 5.7270 5.6867 8.2755 Å, 110.10 110.24 90.00°
Last column: nearest neighbours and their distance in Å.
Positions (direct):
Al 0.0000 0.2500 0.0000  4 Au 2.64, 2 Al 2.84, 2 Mg 2.86
Al 0.0000 0.7500 0.0000  4 Au 2.64, 2 Al 2.84, 2 Mg 2.86
Mg 0.4554 0.6836 0.3673  5 Au 2.78-3.00
Mg 0.0881 0.8164 0.6327  5 Au 2.78-3.00
Mg 0.5000 0.7500 0.0000  4 Au 2.76, 2 Mg 2.84, 2 Al 2.86
Mg 0.9119 0.1836 0.3673  5 Au 2.78-3.00
Mg 0.5000 0.2500 0.0000  4 Au 2.76, 2 Mg 2.84, 2 Al 2.86
Mg 0.5446 0.3164 0.6327  5 Au 2.78-3.00
Au 0.6466 0.8762 0.7524  2 Al 2.64, 3 Mg 2.76-2.78
Au 0.8942 0.6238 0.2476  2 Al 2.64, 3 Mg 2.76-2.78
Au 0.1058 0.3762 0.7524  2 Al 2.64, 3 Mg 2.76-2.78
Au 0.3534 0.1238 0.2476  2 Al 2.64, 3 Mg 2.76-2.78

## Properties
formation enthalpy at 0 K = -0.440 eV/atom
distance to the lowest polymorph of the same formula = 0.000 eV per atom
energy = -2.953 eV per atom


The following is a PBE calculation of a relaxed La2SiBC crystal, from Alexandria.

Cell: 5.5251 3.6562 5.5251 Å, 90.00 90.00 90.00°
Last column: nearest neighbours and their distance in Å.
Positions (direct):
C 0.5000 0.5000 0.5000  8 La 3.31, 2 C 3.66
La 0.0000 0.0000 0.5000  2 Si 2.76
La 0.5000 0.0000 0.0000  2 Si 2.76
Si 0.0000 0.0000 0.0000  2 B 1.83
B 0.0000 0.5000 0.0000  2 Si 1.83

## Properties
energy relative to the elements, uncorrected = 0.889 eV/atom
distance to the lowest polymorph of the same formula = 1.357 eV per atom
energy = -5.347 eV per atom


The following is a PBE calculation of a relaxed ZnSb2Pt crystal, from Alexandria.

Cell: 4.9289 4.9289 4.9289 Å, 60.00 60.00 60.00°
Last column: nearest neighbours and their distance in Å.
Positions (direct):
Zn 0.7500 0.7500 0.7500  4 Pt 3.02, 4 Sb 3.02
Sb 0.2500 0.2500 0.2500  4 Pt 3.02, 4 Sb 3.02
Sb 0.0000 0.0000 0.0000  4 Sb 3.02, 4 Zn 3.02
Pt 0.5000 0.5000 0.5000  4 Zn 3.02, 4 Sb 3.02

## Properties
energy relative to the elements, uncorrected = 0.195 eV/atom
energy = -3.695 eV per atom


The following is a PBE calculation of a relaxed MgZr2Re crystal, from Alexandria.

Cell: 4.7616 4.7616 4.7616 Å, 60.00 60.00 60.00°
Last column: nearest neighbours and their distance in Å.
Positions (direct):
Mg 0.5000 0.5000 0.5000  4 Zr 2.92, 4 Re 2.92
Zr 0.0000 0.0000 0.0000  4 Zr 2.92, 4 Re 2.92
Zr 0.2500 0.2500 0.2500  4 Zr 2.92, 4 Mg 2.92
Re 0.7500 0.7500 0.7500  4 Zr 2.92, 4 Mg 2.92

## Properties
formation enthalpy at 0 K = 0.178 eV/atom
energy = -7.607 eV per atom


The following is a PBE calculation of a relaxed BeTlRu2 crystal, from Alexandria.

Cell: 4.4082 4.4082 4.4082 Å, 60.00 60.00 60.00°
Last column: nearest neighbours and their distance in Å.
Positions (direct):
Tl 0.7500 0.7500 0.7500  4 Be 2.70, 4 Ru 2.70
Be 0.5000 0.5000 0.5000  4 Ru 2.70, 4 Tl 2.70
Ru 0.0000 0.0000 0.0000  4 Tl 2.70, 4 Ru 2.70
Ru 0.2500 0.2500 0.2500  4 Be 2.70, 4 Ru 2.70

## Properties
formation enthalpy at 0 K = 0.603 eV/atom
distance to the lowest polymorph of the same formula = 0.330 eV per atom
energy = -5.558 eV per atom


The following is a PBE calculation of a relaxed NdSmCuGe crystal, from Alexandria.

Cell: 5.1160 5.1160 5.1160 Å, 60.00 60.00 60.00°
Last column: nearest neighbours and their distance in Å.
Positions (direct):
Sm 0.2500 0.2500 0.2500  4 Ge 3.13, 4 Cu 3.13
Ge 0.5000 0.5000 0.5000  4 Nd 3.13, 4 Sm 3.13
Nd 0.7500 0.7500 0.7500  4 Ge 3.13, 4 Cu 3.13
Cu 0.0000 0.0000 0.0000  4 Sm 3.13, 4 Nd 3.13

## Properties
formation enthalpy at 0 K = -0.463 eV/atom
energy = -5.013 eV per atom


The following is a PBE calculation of a relaxed CeNdTe crystal, from Alexandria.

Cell: 4.7157 4.9803 4.9803 Å, 120.00 90.00 90.00°
Last column: nearest neighbours and their distance in Å.
Positions (direct):
Nd 0.5904 0.6667 0.3333  3 Te 3.12
Ce 0.0751 0.0000 0.0000  3 Te 3.12
Te 0.3345 0.3333 0.6667  3 Nd 3.12, 3 Ce 3.12

## Properties
energy relative to the elements, uncorrected = -0.456 eV/atom
distance to the lowest polymorph of the same formula = 0.485 eV per atom
energy = -5.070 eV per atom


The following is a PBE calculation of a relaxed Pm5GaAg4 crystal, from Alexandria.

Cell: 3.6996 3.6996 18.7308 Å, 90.00 90.00 90.00°
Last column: nearest neighbours and their distance in Å.
Positions (direct):
Pm 0.5000 0.5000 0.9039  4 Ga 3.18, 4 Ag 3.24
Pm 0.5000 0.5000 0.2982  8 Ag 3.22-3.24
Pm 0.5000 0.5000 0.7018  8 Ag 3.22-3.24
Pm 0.5000 0.5000 0.5000  8 Ag 3.22
Pm 0.5000 0.5000 0.0961  4 Ga 3.18, 4 Ag 3.24
Ag 0.0000 0.0000 0.3998  8 Pm 3.22-3.24
Ag 0.0000 0.0000 0.1979  8 Pm 3.22-3.24
Ag 0.0000 0.0000 0.8021  8 Pm 3.22-3.24
Ag 0.0000 0.0000 0.6002  8 Pm 3.22-3.24
Ga 0.0000 0.0000 0.0000  8 Pm 3.18

## Properties
formation enthalpy at 0 K = -0.332 eV/atom
energy = -4.150 eV per atom


The following is a PBE calculation of a relaxed ZrPdRh crystal, from Alexandria.

Cell: 4.6237 5.5250 7.9789 Å, 90.00 90.00 90.00°
Last column: nearest neighbours and their distance in Å.
Positions (direct):
Rh 0.0000 0.0000 0.5826  5 Zr 2.66-2.76
Rh 0.5000 0.5000 0.4174  5 Zr 2.66-2.76
Rh 0.0000 0.5000 0.9174  5 Zr 2.66-2.76
Rh 0.5000 0.0000 0.0826  5 Zr 2.66-2.76
Pd 0.5000 0.2500 0.7499  2 Pd 2.76, 6 Rh 2.99-3.01, 6 Zr 3.00
Pd 0.5000 0.7500 0.7499  2 Pd 2.76, 6 Rh 2.99-3.01, 6 Zr 3.00
Pd 0.0000 0.7500 0.2501  2 Pd 2.76, 6 Rh 2.99-3.01, 6 Zr 3.00
Pd 0.0000 0.2500 0.2501  2 Pd 2.76, 6 Rh 2.99-3.01, 6 Zr 3.00
Zr 0.5000 0.5000 0.0834  5 Rh 2.66-2.76
Zr 0.5000 0.0000 0.4165  5 Rh 2.66-2.76
Zr 0.0000 0.5000 0.5835  5 Rh 2.66-2.76
Zr 0.0000 0.0000 0.9166  5 Rh 2.66-2.76

## Properties
formation enthalpy at 0 K = -0.729 eV/atom
distance to the lowest polymorph of the same formula = 0.054 eV per atom
energy = -7.760 eV per atom


The following is a PBE calculation of a relaxed Zr3GeSb crystal, from Alexandria.

Cell: 6.8141 6.8143 7.5134 Å, 63.03 63.03 60.00°
Last column: nearest neighbours and their distance in Å.
Positions (direct):
Sb 0.6686 0.6686 0.9941  6 Zr 2.93
Sb 0.3314 0.3314 0.0059  6 Zr 2.93
Zr 0.8890 0.2775 0.3129  2 Ge 2.67-2.76, 2 Sb 2.93
Zr 0.4794 0.1110 0.6871  2 Ge 2.67-2.76, 2 Sb 2.93
Zr 0.2775 0.5206 0.3129  2 Ge 2.67-2.76, 2 Sb 2.93
Zr 0.1110 0.7225 0.6871  2 Ge 2.67-2.76, 2 Sb 2.93
Zr 0.7225 0.4794 0.6871  2 Ge 2.67-2.76, 2 Sb 2.93
Zr 0.5206 0.8890 0.3129  2 Ge 2.67-2.76, 2 Sb 2.93
Ge 0.1403 0.1403 0.5792  6 Zr 2.67-2.76
Ge 0.8597 0.8597 0.4208  6 Zr 2.67-2.76

## Properties
energy relative to the elements, uncorrected = -0.320 eV/atom
distance to the lowest polymorph of the same formula = 0.000 eV per atom
energy = -7.196 eV per atom


The following is a PBE calculation of a relaxed NaPuGa4 crystal, from Alexandria.

Cell: 3.3398 4.5711 7.9823 Å, 90.00 90.00 90.00°
Last column: nearest neighbours and their distance in Å.
Positions (direct):
Ga 0.4985 0.9973 0.8303  3 Ga 2.66-2.68
Ga 0.4985 0.9973 0.1657  3 Ga 2.66-2.68
Ga 0.4986 0.4973 0.3356  3 Ga 2.60-2.66
Ga 0.4986 0.4973 0.6608  3 Ga 2.60-2.66
Na 0.9987 0.9973 0.4982  12 Ga 3.11-3.14, 2 Na 3.34
Pu 0.9987 0.4973 0.9982  12 Ga 3.13-3.17, 2 Pu 3.34

## Properties
formation enthalpy at 0 K = -0.238 eV/atom
energy = -4.864 eV per atom